Entry 1:
{
  "formula": "LiAcGa4Cu2",
  "functional": "PBE",
  "state": "relaxed",
  "volume_a3_per_fu": 146.6,
  "total_magnetization_mub_per_atom": 0.000,
  "space_group": "No. 166",
  "formation_enthalpy_0k_ev_per_fu": -2.64,
  "lattice": [[2.1364, 1.2335, 9.2726], [-2.1364, 1.2335, 9.2726], [0.0000, -2.4669, 9.2726]],
  "species": ["Li", "Ac", "Ga", "Ga", "Ga", "Ga", "Cu", "Cu"],
  "fractional_positions": [[0.0000, 0.0000, 0.0000], [0.5000, 0.5000, 0.5000], [0.0925, 0.0925, 0.0925], [0.3722, 0.3722, 0.3722], [0.6278, 0.6278, 0.6278], [0.9075, 0.9075, 0.9075], [0.2739, 0.2739, 0.2739], [0.7261, 0.7261, 0.7261]]
}



Entry 2:
{
  "formula": "AcLuGaCu",
  "functional": "PBE",
  "state": "relaxed",
  "volume_a3_per_fu": 100.7,
  "total_magnetization_mub_per_atom": 0.000,
  "space_group": "No. 216",
  "formation_enthalpy_0k_ev_per_fu": -1.10,
  "lattice": [[0.0000, 3.6928, 3.6928], [3.6928, 0.0000, 3.6928], [3.6928, 3.6928, 0.0000]],
  "species": ["Ac", "Lu", "Ga", "Cu"],
  "fractional_positions": [[0.0000, 0.0000, 0.0000], [0.5000, 0.5000, 0.5000], [0.2500, 0.2500, 0.2500], [0.7500, 0.7500, 0.7500]]
}



Entry 3:
{
  "formula": "Ac3Mg2GaCu6",
  "functional": "PBE",
  "state": "relaxed",
  "volume_a3_per_fu": 267.7,
  "total_magnetization_mub_per_atom": 0.000,
  "space_group": "No. 164",
  "formation_enthalpy_0k_ev_per_fu": -0.74,
  "lattice": [[5.9319, 0.0000, 0.0000], [-2.9660, 5.1372, 0.0000], [0.0000, 0.0000, 8.7846]],
  "species": ["Ac", "Ac", "Ac", "Mg", "Mg", "Ga", "Cu", "Cu", "Cu", "Cu", "Cu", "Cu"],
  "fractional_positions": [[0.0000, 0.0000, 0.0000], [0.3333, 0.6667, 0.6154], [0.6667, 0.3333, 0.3846], [0.3333, 0.6667, 0.0202], [0.6667, 0.3333, 0.9798], [0.0000, 0.0000, 0.5000], [0.1887, 0.3774, 0.2793], [0.1887, 0.8113, 0.2793], [0.3774, 0.1887, 0.7207], [0.6226, 0.8113, 0.2793], [0.8113, 0.1887, 0.7207], [0.8113, 0.6226, 0.7207]]
}



Entry 4:
{
  "formula": "AcMgGa2Cu",
  "functional": "PBE",
  "state": "relaxed",
  "volume_a3_per_fu": 112.4,
  "total_magnetization_mub_per_atom": 0.000,
  "space_group": "No. 51",
  "formation_enthalpy_0k_ev_per_fu": -1.36,
  "lattice": [[5.2169, 0.0000, 0.0000], [0.0000, 6.7725, 0.0000], [0.0000, 0.0000, 6.3603]],
  "species": ["Ac", "Ac", "Mg", "Mg", "Ga", "Ga", "Ga", "Ga", "Cu", "Cu"],
  "fractional_positions": [[0.2500, 0.0000, 0.2441], [0.7500, 0.0000, 0.7559], [0.2500, 0.5000, 0.3661], [0.7500, 0.5000, 0.6339], [0.2500, 0.2825, 0.7482], [0.2500, 0.7175, 0.7482], [0.7500, 0.2825, 0.2518], [0.7500, 0.7175, 0.2518], [0.0000, 0.5000, 0.0000], [0.5000, 0.5000, 0.0000]]
}



Entry 5:
{
  "formula": "AcMgGa2Cu4",
  "functional": "PBE",
  "state": "relaxed",
  "volume_a3_per_fu": 146.6,
  "total_magnetization_mub_per_atom": 0.000,
  "space_group": "No. 166",
  "formation_enthalpy_0k_ev_per_fu": -1.68,
  "lattice": [[2.1202, 1.2241, 9.4143], [-2.1202, 1.2241, 9.4143], [0.0000, -2.4483, 9.4143]],
  "species": ["Ac", "Mg", "Ga", "Ga", "Cu", "Cu", "Cu", "Cu"],
  "fractional_positions": [[0.0000, 0.0000, 0.0000], [0.5000, 0.5000, 0.5000], [0.2403, 0.2403, 0.2403], [0.7597, 0.7597, 0.7597], [0.1153, 0.1153, 0.1153], [0.4095, 0.4095, 0.4095], [0.5905, 0.5905, 0.5905], [0.8847, 0.8847, 0.8847]]
}



Entry 6:
{
  "formula": "AcMgGaCu",
  "functional": "PBE",
  "state": "relaxed",
  "volume_a3_per_fu": 94.5,
  "total_magnetization_mub_per_atom": 0.000,
  "space_group": "No. 216",
  "formation_enthalpy_0k_ev_per_fu": -0.90,
  "lattice": [[0.0000, 3.6156, 3.6156], [3.6156, 0.0000, 3.6156], [3.6156, 3.6156, 0.0000]],
  "species": ["Ac", "Mg", "Ga", "Cu"],
  "fractional_positions": [[0.0000, 0.0000, 0.0000], [0.5000, 0.5000, 0.5000], [0.2500, 0.2500, 0.2500], [0.7500, 0.7500, 0.7500]]
}



Entry 7:
{
  "formula": "AcMg2Ga2Cu",
  "functional": "PBE",
  "state": "relaxed",
  "volume_a3_per_fu": 153.8,
  "total_magnetization_mub_per_atom": 0.000,
  "space_group": "No. 139",
  "formation_enthalpy_0k_ev_per_fu": -0.54,
  "lattice": [[-2.1881, 2.1881, 8.0326], [2.1881, -2.1881, 8.0326], [2.1881, 2.1881, -8.0326]],
  "species": ["Ac", "Mg", "Mg", "Ga", "Ga", "Cu"],
  "fractional_positions": [[0.0000, 0.0000, 0.0000], [0.2500, 0.7500, 0.5000], [0.7500, 0.2500, 0.5000], [0.3577, 0.3577, 0.0000], [0.6423, 0.6423, 0.0000], [0.5000, 0.5000, 0.0000]]
}



Entry 8:
{
  "formula": "Ac2MgGaCu6",
  "functional": "PBE",
  "state": "relaxed",
  "volume_a3_per_fu": 205.6,
  "total_magnetization_mub_per_atom": 0.000,
  "space_group": "No. 2",
  "formation_enthalpy_0k_ev_per_fu": -1.41,
  "lattice": [[5.3099, 0.0000, 0.0000], [2.6529, 6.0903, 0.0000], [2.6478, 0.3339, 6.3591]],
  "species": ["Ac", "Ac", "Mg", "Ga", "Cu", "Cu", "Cu", "Cu", "Cu", "Cu"],
  "fractional_positions": [[0.2404, 0.3075, 0.2104], [0.7596, 0.6925, 0.7896], [0.0000, 0.0000, 0.0000], [0.5000, 0.5000, 0.5000], [0.2235, 0.7748, 0.2863], [0.2498, 0.9198, 0.5840], [0.2845, 0.2259, 0.7142], [0.7155, 0.7741, 0.2858], [0.7502, 0.0802, 0.4160], [0.7765, 0.2252, 0.7137]]
}



Entry 9:
{
  "formula": "Ac3Mg2Ga4Cu2",
  "functional": "PBE",
  "state": "relaxed",
  "volume_a3_per_fu": 286.3,
  "total_magnetization_mub_per_atom": 0.000,
  "space_group": "No. 164",
  "formation_enthalpy_0k_ev_per_fu": -3.19,
  "lattice": [[4.4335, 0.0000, 0.0000], [-2.2167, 3.8395, 0.0000], [0.0000, 0.0000, 16.8167]],
  "species": ["Ac", "Ac", "Ac", "Mg", "Mg", "Ga", "Ga", "Ga", "Ga", "Cu", "Cu"],
  "fractional_positions": [[0.0000, 0.0000, 0.0000], [0.0000, 0.0000, 0.2617], [0.0000, 0.0000, 0.7383], [0.3333, 0.6667, 0.5547], [0.6667, 0.3333, 0.4453], [0.3333, 0.6667, 0.3826], [0.3333, 0.6667, 0.8707], [0.6667, 0.3333, 0.1293], [0.6667, 0.3333, 0.6174], [0.3333, 0.6667, 0.1337], [0.6667, 0.3333, 0.8663]]
}



Entry 10:
{
  "formula": "AcMgGa4Cu2",
  "functional": "PBE",
  "state": "relaxed",
  "volume_a3_per_fu": 156.6,
  "total_magnetization_mub_per_atom": 0.000,
  "space_group": "No. 166",
  "formation_enthalpy_0k_ev_per_fu": -1.99,
  "lattice": [[2.1606, 1.2474, 9.6810], [-2.1606, 1.2474, 9.6810], [0.0000, -2.4948, 9.6810]],
  "species": ["Ac", "Mg", "Ga", "Ga", "Ga", "Ga", "Cu", "Cu"],
  "fractional_positions": [[0.0000, 0.0000, 0.0000], [0.5000, 0.5000, 0.5000], [0.1216, 0.1216, 0.1216], [0.4044, 0.4044, 0.4044], [0.5956, 0.5956, 0.5956], [0.8784, 0.8784, 0.8784], [0.2306, 0.2306, 0.2306], [0.7694, 0.7694, 0.7694]]
}



Entry 11:
{
  "formula": "AcMg2GaCu2",
  "functional": "PBE",
  "state": "relaxed",
  "volume_a3_per_fu": 139.1,
  "total_magnetization_mub_per_atom": 0.000,
  "space_group": "No. 139",
  "formation_enthalpy_0k_ev_per_fu": -0.43,
  "lattice": [[-2.4918, 2.4918, 5.6018], [2.4918, -2.4918, 5.6018], [2.4918, 2.4918, -5.6018]],
  "species": ["Ac", "Mg", "Mg", "Ga", "Cu", "Cu"],
  "fractional_positions": [[0.0000, 0.0000, 0.0000], [0.2500, 0.7500, 0.5000], [0.7500, 0.2500, 0.5000], [0.5000, 0.5000, 0.0000], [0.2928, 0.2928, 0.0000], [0.7072, 0.7072, 0.0000]]
}



Entry 12:
{
  "formula": "AcGaCuN",
  "functional": "PBE",
  "state": "relaxed",
  "volume_a3_per_fu": 72.5,
  "total_magnetization_mub_per_atom": 0.000,
  "space_group": "No. 129",
  "lattice": [[3.9630, 0.0000, 0.0000], [0.0000, 3.9630, 0.0000], [0.0000, 0.0000, 9.2371]],
  "species": ["Ac", "Ac", "Ga", "Ga", "Cu", "Cu", "N", "N"],
  "fractional_positions": [[0.2500, 0.2500, 0.1498], [0.7500, 0.7500, 0.8502], [0.2500, 0.2500, 0.6606], [0.7500, 0.7500, 0.3394], [0.2500, 0.7500, 0.5000], [0.7500, 0.2500, 0.5000], [0.2500, 0.2500, 0.8755], [0.7500, 0.7500, 0.1245]]
}



In the order shown, the computed E values come out to -3.621, -4.213, -3.655, -3.443, -3.728, -3.432, -2.998, -3.882, -3.546, -3.499, -3.158, -5.535 eV per atom.
In the order shown, the computed DOS(E_F) values come out to 2.03, 2.70, 6.49, 2.50, 5.09, 2.17, 2.83, 4.16, 11.15, 3.27, 4.07, 0.88 states/eV/f.u..